# K3Tb3YTe8

A relaxed structure of K3Tb3YTe8 (PBE, the Alexandria database).

a = 9.9154 Å, b = 9.9154 Å, c = 9.9154 Å
α = 52.76°, β = 52.76°, γ = 52.76°
Positions (direct):
K: 0.0000 0.5000 0.5000
K: 0.5000 0.0000 0.5000
K: 0.5000 0.5000 0.0000
Tb: 0.0000 0.0000 0.5000
Tb: 0.0000 0.5000 0.0000
Tb: 0.5000 0.0000 0.0000
Y: 0.5000 0.5000 0.5000
Te: 0.2348 0.7369 0.7369
Te: 0.2366 0.2366 0.2366
Te: 0.2631 0.2631 0.7652
Te: 0.2631 0.7652 0.2631
Te: 0.7369 0.2348 0.7369
Te: 0.7369 0.7369 0.2348
Te: 0.7634 0.7634 0.7634
Te: 0.7652 0.2631 0.2631

Results
* uncorrected formation energy: -1328 meV per atom
* SG: R-3m

---

# CaZrIO2

A relaxed structure of CaZrIO2 (PBE, the Alexandria database).

a = 4.2193 Å, b = 4.2193 Å, c = 6.0670 Å
α = 90.00°, β = 90.00°, γ = 90.00°
Positions (direct):
Ca: 0.0000 0.0000 0.0000
Zr: 0.5000 0.5000 0.5000
I: 0.5000 0.5000 0.0000
O: 0.0000 0.5000 0.5000
O: 0.5000 0.0000 0.5000

Results
* uncorrected formation energy: -1801 meV per atom
* SG: P4/mmm
* energy above the lowest structure with this stoichiometry: 0 meV/atom

---

# Pd3ClF5

A relaxed structure of Pd3ClF5 (PBE, the Alexandria database).

a = 5.2054 Å, b = 3.4764 Å, c = 15.4194 Å
α = 90.00°, β = 92.71°, γ = 90.00°
Positions (direct):
Pd: 0.0000 0.0000 0.0000
Pd: 0.0199 0.0000 0.6605
Pd: 0.4791 0.5000 0.8407
Pd: 0.5000 0.5000 0.5000
Pd: 0.5209 0.5000 0.1593
Pd: 0.9801 0.0000 0.3395
Cl: 0.2043 0.5000 0.2656
Cl: 0.7957 0.5000 0.7344
F: 0.1661 0.5000 0.9317
F: 0.2188 0.5000 0.5996
F: 0.2828 0.0000 0.4418
F: 0.2998 0.0000 0.7687
F: 0.3402 0.0000 0.0910
F: 0.6598 0.0000 0.9090
F: 0.7002 0.0000 0.2313
F: 0.7172 0.0000 0.5582
F: 0.7812 0.5000 0.4004
F: 0.8339 0.5000 0.0683

Results
* uncorrected formation energy: -977 meV per atom
* SG: P2/m

---

# GdAlPt

A relaxed structure of GdAlPt (PBE, the Alexandria database).

a = 4.3894 Å, b = 4.3894 Å, c = 3.8181 Å
α = 90.00°, β = 90.00°, γ = 120.00°
Positions (direct):
Gd: 0.0000 0.0000 0.0000
Al: 0.3333 0.6667 0.5000
Pt: 0.6667 0.3333 0.5000

Results
* energy of formation: -23.2 kcal/mol of atoms
* SG: P-6m2

---

One value per record, in order, for total DFT energy (no corrections): -68.708, -31.019, -71.156, -26.888 eV/cell.